Entry 1:
{"formula": "Sr3HfCu2S6", "functional": "PBE-GGA", "state": "optimized geometry", "e_form_raw_ev_per_atom": -1.26, "spacegroup": "P-3m1 (164)", "cell": [[-1.737, 2.164, 6.577], [-3.200, -5.715, -2.838], [5.286, -4.367, 2.833]], "species": ["Cu", "Cu", "S", "S", "S", "S", "S", "S", "Sr", "Sr", "Sr", "Hf"], "frac_coords": [[0.333, 0.667, 0.212], [0.667, 0.333, 0.788], [0.162, 0.838, 0.293], [0.838, 0.162, 0.707], [0.162, 0.325, 0.293], [0.675, 0.838, 0.293], [0.325, 0.162, 0.707], [0.838, 0.675, 0.707], [0.000, 0.000, 0.000], [0.333, 0.667, 0.614], [0.667, 0.333, 0.386], [0.000, 0.000, 0.500]]}

Entry 2:
{"formula": "SrHfCu2S", "functional": "PBE-GGA", "state": "optimized geometry", "e_form_raw_ev_per_atom": 0.13, "n_ef_per_ev_cell": 3.80, "spacegroup": "P4/mmm (123)", "cell": [[-4.556, -1.161, 0.623], [1.331, -4.167, 1.965], [0.065, 2.040, 4.281]], "species": ["Cu", "Cu", "S", "Hf", "Sr"], "frac_coords": [[0.500, 0.000, 0.000], [0.000, 0.000, 0.500], [0.000, 0.000, 0.000], [0.000, 0.500, 0.000], [0.500, 0.500, 0.500]]}

Entry 3:
{"formula": "Tb2HfCuS5", "functional": "PBE-GGA", "state": "optimized geometry", "e_form_raw_ev_per_atom": -1.59, "n_ef_per_ev_cell": 1.49, "spacegroup": "Cmc2_1 (36)", "cell": [[3.734, 0.000, 0.000], [-1.867, 8.132, 0.000], [0.000, 0.000, 11.466]], "species": ["S", "S", "S", "S", "S", "S", "S", "S", "S", "S", "Tb", "Tb", "Tb", "Tb", "Hf", "Hf", "Cu", "Cu"], "frac_coords": [[0.959, 0.919, 0.550], [0.693, 0.385, 0.857], [0.041, 0.081, 0.050], [0.350, 0.701, 0.008], [0.709, 0.419, 0.173], [0.291, 0.581, 0.673], [0.494, 0.988, 0.769], [0.307, 0.615, 0.357], [0.650, 0.299, 0.508], [0.506, 0.012, 0.269], [0.873, 0.746, 0.819], [0.127, 0.254, 0.319], [0.112, 0.225, 0.691], [0.888, 0.775, 0.191], [0.811, 0.622, 0.517], [0.189, 0.378, 0.017], [0.561, 0.121, 0.941], [0.439, 0.879, 0.441]]}

Entry 4:
{"formula": "HfTiCuS4", "functional": "PBE-GGA", "state": "optimized geometry", "e_form_raw_ev_per_atom": -1.24, "n_ef_per_ev_cell": 6.57, "spacegroup": "Imma (74)", "cell": [[-2.048, -2.605, 6.304], [-6.058, -3.890, 0.447], [0.471, -7.089, 1.246]], "species": ["S", "S", "S", "S", "S", "S", "S", "S", "Cu", "Cu", "Ti", "Ti", "Hf", "Hf"], "frac_coords": [[0.758, 0.244, 0.744], [0.745, 0.756, 0.256], [0.255, 0.244, 0.744], [0.249, 0.237, 0.264], [0.751, 0.763, 0.736], [0.249, 0.764, 0.737], [0.751, 0.236, 0.263], [0.242, 0.756, 0.256], [0.632, 0.618, 0.118], [0.368, 0.382, 0.882], [0.500, 0.000, 0.500], [0.000, 0.000, 0.500], [0.000, 0.500, 0.500], [0.000, 0.000, 0.000]]}